1.
The following is a DFT calculation (GGA-PBE) of a relaxed structure of Pm3Nd2Sm6Y.

CIF file:
```
data_Pm3Nd2Sm6Y
_cell_length_a 6.3065
_cell_length_b 10.9182
_cell_length_c 12.0818
_cell_angle_alpha 90.00
_cell_angle_beta 100.03
_cell_angle_gamma 90.00
_symmetry_space_group_name_H-M 'C 1 2/m 1'
_symmetry_Int_Tables_number 12
_symmetry_space_group_name_Hall '-C 2y'
loop_
_atom_site_label
_atom_site_type_symbol
_atom_site_fract_x
_atom_site_fract_y
_atom_site_fract_z
Pm1 Pm 0.0000 0.0000 0.0000
Pm2 Pm 0.0000 0.3334 0.0000
Nd1 Nd 0.0000 0.1666 0.5000
Sm1 Sm 0.2503 0.0000 0.7503
Sm2 Sm 0.2503 0.1665 0.2501
Y1 Y 0.0000 0.5000 0.5000
```

Calculated values
**Formation energy from the elements**: 0.013 eV/atom
**E_tot**: -116.83 eV/cell

2.
The following is a DFT calculation (GGA-PBE) of a relaxed structure of PmNdSmZn.

CIF file:
```
data_PmNdSmZn
_cell_length_a 3.6594
_cell_length_b 3.6594
_cell_length_c 8.8257
_cell_angle_alpha 90.00
_cell_angle_beta 90.00
_cell_angle_gamma 90.00
_symmetry_space_group_name_H-M 'P 4 m m'
_symmetry_Int_Tables_number 99
_symmetry_space_group_name_Hall 'P 4 -2'
loop_
_atom_site_label
_atom_site_type_symbol
_atom_site_fract_x
_atom_site_fract_y
_atom_site_fract_z
Pm1 Pm 0.0000 0.0000 0.0000
Nd1 Nd 0.5000 0.5000 0.2956
Sm1 Sm 0.0000 0.0000 0.5891
Zn1 Zn 0.5000 0.5000 0.7925
```

Calculated values
**Formation energy from the elements**: -0.155 eV/atom
**Offset from the most stable computed form**: 0 meV per atom
**E_tot**: -16.13 eV/cell

3.
The following is a DFT calculation (GGA-PBE) of a relaxed structure of PmNdSmZn.

CIF file:
```
data_PmNdSmZn
_cell_length_a 7.7310
_cell_length_b 7.7310
_cell_length_c 7.7310
_cell_angle_alpha 90.00
_cell_angle_beta 90.00
_cell_angle_gamma 90.00
_symmetry_space_group_name_H-M 'F -4 3 m'
_symmetry_Int_Tables_number 216
_symmetry_space_group_name_Hall 'F -4 2 3'
loop_
_atom_site_label
_atom_site_type_symbol
_atom_site_fract_x
_atom_site_fract_y
_atom_site_fract_z
Pm1 Pm 0.0000 0.0000 0.0000
Nd1 Nd 0.2500 0.2500 0.2500
Sm1 Sm 0.2500 0.2500 0.7500
Zn1 Zn 0.0000 0.0000 0.5000
```

Calculated values
**Formation energy from the elements**: 0.063 eV/atom
**Offset from the most stable computed form**: 218 meV per atom
**E_tot**: -61.04 eV/cell

- Which of these has the highest E_tot?
  number 2

- What is the formation energy from the elements in the first record?
  0.013 eV/atom